Record 1
A plane-wave DFT calculation with GGA-PBE was carried out for a relaxed MnZn2Rh crystal.

Output
Magnetic moment (μB/cell): 3.25

Cell lengths 8.7344, 8.7344, 8.7344 Å; angles 18.32, 18.32, 18.32 degrees
Fractional positions:
Mn1 0.4980 0.4980 0.4980
Zn1 0.2472 0.2472 0.2472
Zn2 0.0029 0.0029 0.0029
Rh1 0.7518 0.7518 0.7518

Record 2
A plane-wave DFT calculation with GGA-PBE was carried out for a relaxed MnZn2Rh crystal.

Output
Magnetic moment (μB/cell): 3.48

Cell lengths 4.2717, 2.9480, 4.4189 Å; angles 90.01, 90.00, 90.00 degrees
Fractional positions:
Rh1 0.5000 0.6250 0.8059
Zn1 0.5000 0.1249 0.3083
Mn1 0.0000 0.6249 0.4441
Zn2 0.0000 0.1251 0.9418

Record 3
A plane-wave DFT calculation with GGA-PBE was carried out for a relaxed MnZn4Rh crystal.

Output
Magnetic moment (μB/cell): 7.36

Cell lengths 4.2709, 5.3834, 7.8400 Å; angles 70.00, 90.00, 90.00 degrees
Fractional positions:
Zn1 0.2500 0.5423 0.4160
Mn1 0.7500 0.3783 0.2443
Zn2 0.2500 0.0416 0.4160
Zn3 0.7501 0.2854 0.9171
Zn4 0.7499 0.7978 0.9168
Zn5 0.2501 0.2022 0.0832
Zn6 0.7500 0.9584 0.5840
Rh1 0.2500 0.1284 0.7434
Zn7 0.7500 0.4577 0.5840
Zn8 0.2499 0.7146 0.0829
Mn2 0.2500 0.6217 0.7557
Rh2 0.7500 0.8716 0.2566

Record 4
A plane-wave DFT calculation with GGA-PBE was carried out for a relaxed Mn2ZnRh3 crystal.

Output
Magnetic moment (μB/cell): 15.62

Cell lengths 4.2962, 6.7856, 6.0153 Å; angles 90.00, 90.00, 71.54 degrees
Fractional positions:
Zn1 0.3345 0.3310 0.0000
Rh1 0.8339 0.3322 0.2531
Mn1 0.0000 0.0000 0.0000
Rh2 0.1661 0.6678 0.7469
Rh3 0.5000 0.0000 0.2540
Rh4 0.8339 0.3322 0.7469
Mn2 0.0000 0.0000 0.5000
Zn2 0.6655 0.6690 0.0000
Mn3 0.3330 0.3341 0.5000
Rh5 0.5000 0.0000 0.7460
Mn4 0.6670 0.6659 0.5000
Rh6 0.1661 0.6678 0.2531

Record 5
A plane-wave DFT calculation with GGA-PBE was carried out for a relaxed MnZn2Rh crystal.

Output
Magnetic moment (μB/cell): 3.87

Cell lengths 3.0285, 3.2243, 5.8270 Å; angles 90.00, 90.00, 90.00 degrees
Fractional positions:
Zn1 0.0000 0.0000 0.9944
Zn2 0.5000 0.5000 0.2508
Rh1 0.5000 0.5000 0.7497
Mn1 0.0000 0.0000 0.5051

Record 6
A plane-wave DFT calculation with GGA-PBE was carried out for a relaxed Mn2ZnRh2 crystal.

Output
Magnetic moment (μB/cell): 15.67

Cell lengths 7.1002, 7.1002, 2.9923 Å; angles 90.00, 90.00, 90.00 degrees
Fractional positions:
Mn1 0.1537 0.6537 0.5000
Zn1 0.0000 0.0000 0.0000
Rh1 0.1443 0.3557 0.0000
Mn2 0.6537 0.8463 0.5000
Rh2 0.8557 0.6443 0.0000
Mn3 0.8463 0.3463 0.5000
Rh3 0.6443 0.1443 0.0000
Zn2 0.5000 0.5000 0.0000
Mn4 0.3463 0.1537 0.5000
Rh4 0.3557 0.8557 0.0000

In the order shown, the computed energy of formation values come out to -0.025; -0.192; -0.165; -0.257; -0.137; -0.007 eV per atom.